Here is a geometry-optimized DyLuTl2 structure from Alexandria. Energies are from PBE-GGA.

Computed properties:
Total moment in μB per formula unit: 0.0
Raw total energy in eV per atom: -3.7617

a b c (Å): 7.533 7.533 7.533
angles (deg): 90.00 90.00 90.00
Space group Fm-3m (No. 225)
One atom of each set of equivalent atoms:
Dy  0.000  0.000  0.000
Lu  0.000  0.000  0.500
Tl  0.250  0.250  0.250